Material: ZnSiP
Method: DFT, PBE-GGA
State: optimized geometry

Structure (POSCAR):
```
ZnSiP
1.0
4.651 0.000 0.000
-2.326 4.028 0.000
0.000 0.000 2.477
Zn Si P
1 1 1
direct
0.000 0.000 0.000
0.333 0.667 0.000
0.667 0.333 0.000
```

Calculated values
- Space group: No. 187
- Total magnetic moment: 0.000 μB/atom
- Density: 4.45 g cm⁻³
- Raw formation energy: 0.30 eV per atom
- N(E_F): 1.07 states/eV/cell
- Crystal system: hexagonal

=====

Material: InReH2
Method: DFT, PBE-GGA
State: optimized geometry

Structure (POSCAR):
```
InReH2
1.0
0.000 2.794 2.794
2.794 0.000 2.794
2.794 2.794 0.000
In Re H
1 1 2
direct
0.000 0.000 0.000
0.500 0.500 0.500
0.250 0.250 0.250
0.750 0.750 0.750
```

Calculated values
- Space group: No. 225
- Total magnetic moment: 0.061 μB/atom
- Raw total energy: -4.20 eV per atom
- Density: 11.53 g cm⁻³
- N(E_F): 2.87 states/eV/cell
- Crystal system: cubic

=====

Material: AcHf2BiO8
Method: DFT, PBE-GGA
State: optimized geometry

Structure (POSCAR):
```
AcHf2BiO8
1.0
3.558 -3.638 0.000
3.558 3.638 0.000
0.000 0.000 6.869
Ac Hf Bi O
1 2 1 8
direct
0.000 0.000 0.000
0.500 0.500 0.252
0.500 0.500 0.748
0.000 0.000 0.500
0.212 0.212 0.281
0.212 0.212 0.719
0.306 0.694 0.500
0.332 0.668 0.000
0.668 0.332 0.000
0.694 0.306 0.500
0.788 0.788 0.281
0.788 0.788 0.719
```

Calculated values
- Space group: No. 65
- Total magnetic moment: 0.000 μB/atom
- Density: 8.60 g cm⁻³
- Raw formation energy: -2.61 eV per atom
- N(E_F): 0.07 states/eV/cell
- Crystal system: orthorhombic

=====

Material: AlReAg2
Method: DFT, PBE-GGA
State: optimized geometry

Structure (POSCAR):
```
AlReAg2
1.0
0.000 3.194 3.194
3.194 0.000 3.194
3.194 3.194 0.000
Al Re Ag
1 1 2
direct
0.000 0.000 0.000
0.250 0.250 0.250
0.500 0.500 0.500
0.750 0.750 0.750
```

Calculated values
- Space group: No. 216
- Total magnetic moment: 0.327 μB/atom
- Density: 10.93 g cm⁻³
- N(E_F): 3.81 states/eV/cell
- Energy of formation from the pure elements: 0.501 eV per atom
- Crystal system: cubic